Record 1
GGA-PBE Hf2SiPtO, optimized geometry; SG = P4/mmm, No. 123; E_form (uncorrected) = 0.448 eV per atom; calculated volume = 22.8 Å³/atom; total DFT energy (no corrections) = -6.82 eV per atom
1.0
5.122 0.000 0.000
0.000 4.351 0.000
0.000 0.000 5.122
Pt O Hf Si
1 1 2 1
Direct
0.000 0.000 0.000
0.500 0.500 0.500
0.500 0.000 0.000
0.000 0.000 0.500
0.000 0.500 0.000

---

Record 2
GGA-PBE HfSi2PtO, optimized geometry; SG = P4/mmm, No. 123; E_form (uncorrected) = 0.299 eV per atom; calculated volume = 17.9 Å³/atom; total DFT energy (no corrections) = -6.06 eV per atom
1.0
4.852 0.000 0.000
0.000 4.852 0.000
0.000 0.000 3.806
O Si Hf Pt
1 2 1 1
Direct
0.000 0.000 0.500
0.500 0.000 0.000
0.000 0.500 0.000
0.500 0.500 0.500
0.000 0.000 0.000

---

Record 3
GGA-PBE Sr2HfPt3O12, optimized geometry; SG = R-3m, No. 166; E_form (uncorrected) = -1.377 eV per atom; calculated volume = 15.5 Å³/atom; total DFT energy (no corrections) = -6.43 eV per atom
1.0
7.429 0.128 0.091
3.780 6.397 0.091
3.780 2.200 6.007
O Sr Pt Hf
12 2 3 1
Direct
0.078 0.664 0.078
0.063 0.673 0.673
0.673 0.063 0.673
0.922 0.336 0.922
0.922 0.922 0.336
0.673 0.673 0.063
0.937 0.327 0.327
0.327 0.327 0.937
0.327 0.937 0.327
0.664 0.078 0.078
0.336 0.922 0.922
0.078 0.078 0.664
0.691 0.691 0.691
0.309 0.309 0.309
0.000 0.000 0.500
0.000 0.500 0.000
0.500 0.000 0.000
0.000 0.000 0.000

---

Record 4
GGA-PBE Hf2TiPtO, optimized geometry; SG = P4/mmm, No. 123; E_form (uncorrected) = -1.437 eV per atom; calculated volume = 15.6 Å³/atom; total DFT energy (no corrections) = -9.20 eV per atom
1.0
4.410 0.000 0.000
0.000 4.410 0.000
0.000 0.000 4.020
O Hf Ti Pt
1 2 1 1
Direct
0.000 0.000 0.000
0.000 0.500 0.000
0.500 0.000 0.000
0.000 0.000 0.500
0.500 0.500 0.500

---

Record 5
GGA-PBE HfTi2PtO, optimized geometry; SG = P4/mmm, No. 123; E_form (uncorrected) = -1.478 eV per atom; calculated volume = 14.7 Å³/atom; total DFT energy (no corrections) = -8.83 eV per atom
1.0
4.083 0.000 0.000
0.000 4.083 0.000
0.000 0.000 4.416
Ti Pt Hf O
2 1 1 1
Direct
0.000 0.500 0.000
0.500 0.000 0.000
0.500 0.500 0.500
0.000 0.000 0.500
0.000 0.000 0.000

---

Record 6
GGA-PBE HfTl2Pt3O12, optimized geometry; SG = R-3m, No. 166; E_form (uncorrected) = -0.810 eV per atom; calculated volume = 15.8 Å³/atom; total DFT energy (no corrections) = -5.94 eV per atom
1.0
-4.059 0.045 6.327
-0.065 -5.820 4.758
3.186 0.351 6.800
O Hf Pt Tl
12 1 3 2
Direct
0.327 0.327 0.939
0.327 0.939 0.327
0.929 0.332 0.929
0.071 0.668 0.071
0.939 0.327 0.327
0.071 0.071 0.668
0.673 0.673 0.061
0.668 0.071 0.071
0.061 0.673 0.673
0.673 0.061 0.673
0.929 0.929 0.332
0.332 0.929 0.929
0.000 0.000 0.000
0.000 0.500 0.000
0.500 0.000 0.000
0.000 0.000 0.500
0.299 0.299 0.299
0.701 0.701 0.701